Record 1
Below is a crystal of TaFe2Sb relaxed with PBEsol, with properties calculated at the SCAN level.

abc: 3.1286 3.1286 6.1433
angles: 90.00 90.00 90.00
Fractional coordinates of all 4 atoms:
Ta 0.0000 0.0000 0.0000
Fe 0.0000 0.0000 0.4276
Fe 0.5000 0.5000 0.2307
Sb 0.5000 0.5000 0.6728

## Properties
**Symmetry**: P4mm
**Formation energy (no corrections)**: 0.78 eV per formula unit

---

Record 2
Below is a crystal of TaFe3Sb relaxed with PBEsol, with properties calculated at the SCAN level.

abc: 4.4942 4.4942 4.4942
angles: 90.00 90.00 90.00
Fractional coordinates of all 5 atoms:
Ta 0.0000 0.0000 0.0000
Fe 0.0000 0.0000 0.5000
Fe 0.0000 0.5000 0.0000
Fe 0.5000 0.0000 0.0000
Sb 0.5000 0.5000 0.5000

## Properties
**Symmetry**: Pm-3m
**Formation energy (no corrections)**: 7.13 eV per formula unit

---

Record 3
Below is a crystal of FeTcSb relaxed with PBEsol, with properties calculated at the SCAN level.

abc: 4.2161 4.2161 4.2161
angles: 60.00 60.00 60.00
Fractional coordinates of all 3 atoms:
Fe 0.0000 0.0000 0.0000
Tc 0.5000 0.5000 0.5000
Sb 0.2500 0.2500 0.2500

## Properties
**Symmetry**: F-43m
**Formation energy (no corrections)**: 1.67 eV per formula unit

---

Record 4
Below is a crystal of FeTc2Sb relaxed with PBEsol, with properties calculated at the SCAN level.

abc: 4.7986 4.7986 4.7986
angles: 133.64 133.64 67.65
Fractional coordinates of all 4 atoms:
Fe 0.0000 0.0000 0.0000
Tc 0.2500 0.7500 0.5000
Tc 0.7500 0.2500 0.5000
Sb 0.5000 0.5000 0.0000

## Properties
**Symmetry**: I4/mmm
**Formation energy (no corrections)**: 1.50 eV per formula unit

---

Record 5
Below is a crystal of FeTc2Sb relaxed with PBEsol, with properties calculated at the SCAN level.

abc: 3.0667 3.0667 6.2213
angles: 90.00 90.00 90.00
Fractional coordinates of all 4 atoms:
Fe 0.0000 0.0000 0.0000
Tc 0.0000 0.0000 0.5271
Tc 0.5000 0.5000 0.7707
Sb 0.5000 0.5000 0.2414

## Properties
**Symmetry**: P4mm
**Formation energy (no corrections)**: 0.92 eV per formula unit

---

Record 6
Below is a crystal of FeTc3Sb relaxed with PBEsol, with properties calculated at the SCAN level.

abc: 4.7183 4.7183 4.7183
angles: 90.00 90.00 90.00
Fractional coordinates of all 5 atoms:
Fe 0.0000 0.0000 0.0000
Tc 0.0000 0.5000 0.5000
Tc 0.5000 0.0000 0.5000
Tc 0.5000 0.5000 0.0000
Sb 0.5000 0.5000 0.5000

## Properties
**Symmetry**: Pm-3m
**Formation energy (no corrections)**: 10.79 eV per formula unit

---

Record 7
Below is a crystal of TiFeSb2Te relaxed with PBEsol, with properties calculated at the SCAN level.

abc: 4.6827 4.6827 5.4366
angles: 90.00 90.00 90.00
Fractional coordinates of all 5 atoms:
Ti 0.0000 0.0000 0.0000
Fe 0.5000 0.5000 0.5000
Sb 0.0000 0.5000 0.5000
Sb 0.5000 0.0000 0.5000
Te 0.5000 0.5000 0.0000

## Properties
**Symmetry**: P4/mmm
**Formation energy (no corrections)**: 2.75 eV per formula unit

---

Record 8
Below is a crystal of YFeSbTe2 relaxed with PBEsol, with properties calculated at the SCAN level.

abc: 5.6684 5.6684 5.7121
angles: 90.00 90.00 90.00
Fractional coordinates of all 5 atoms:
Y 0.0000 0.0000 0.0000
Fe 0.5000 0.5000 0.5000
Sb 0.0000 0.0000 0.5000
Te 0.0000 0.5000 0.0000
Te 0.5000 0.0000 0.0000

## Properties
**Symmetry**: P4/mmm
**Formation energy (no corrections)**: 2.75 eV per formula unit

---

Record 9
Below is a crystal of TiFeSb relaxed with PBEsol, with properties calculated at the SCAN level.

abc: 4.1496 4.1496 4.1496
angles: 60.00 60.00 60.00
Fractional coordinates of all 3 atoms:
Ti 0.0000 0.0000 0.0000
Fe 0.2500 0.2500 0.2500
Sb 0.5000 0.5000 0.5000

## Properties
**Symmetry**: F-43m
**Formation energy (no corrections)**: -1.34 eV per formula unit

---

Record 10
Below is a crystal of Ti5FeSb2 relaxed with PBEsol, with properties calculated at the SCAN level.

abc: 7.7332 7.7332 7.7332
angles: 96.13 96.13 141.87
Fractional coordinates of all 16 atoms:
Ti 0.0690 0.8011 0.8702
Ti 0.1989 0.0690 0.2679
Ti 0.2500 0.7500 0.5000
Ti 0.3011 0.5690 0.8702
Ti 0.4310 0.3011 0.7321
Ti 0.5690 0.6989 0.2679
Ti 0.6989 0.4310 0.1298
Ti 0.7500 0.2500 0.5000
Ti 0.8011 0.9310 0.7321
Ti 0.9310 0.1989 0.1298
Fe 0.2500 0.2500 0.0000
Fe 0.7500 0.7500 0.0000
Sb 0.1644 0.3356 0.5000
Sb 0.3356 0.8356 0.1713
Sb 0.6644 0.1644 0.8287
Sb 0.8356 0.6644 0.5000

## Properties
**Symmetry**: I4/mcm
**Formation energy (no corrections)**: -3.66 eV per formula unit

---

Record 11
Below is a crystal of TlFeSb2 relaxed with PBEsol, with properties calculated at the SCAN level.

abc: 5.0283 5.0283 5.0283
angles: 60.00 60.00 60.00
Fractional coordinates of all 4 atoms:
Tl 0.0000 0.0000 0.0000
Fe 0.5000 0.5000 0.5000
Sb 0.2500 0.2500 0.2500
Sb 0.7500 0.7500 0.7500

## Properties
**Symmetry**: Fm-3m
**Relative energy among the computed polymorphs**: 432 meV/atom
**Formation energy (no corrections)**: 2.29 eV per formula unit

---

Record 12
Below is a crystal of TlFe2Sb relaxed with PBEsol, with properties calculated at the SCAN level.

abc: 4.6522 4.6522 4.6522
angles: 60.00 60.00 60.00
Fractional coordinates of all 4 atoms:
Tl 0.0000 0.0000 0.0000
Fe 0.5000 0.5000 0.5000
Fe 0.7500 0.7500 0.7500
Sb 0.2500 0.2500 0.2500

## Properties
**Symmetry**: F-43m
**Relative energy among the computed polymorphs**: 524 meV/atom
**Formation energy (no corrections)**: 3.05 eV per formula unit